Here is an optimized crystal structure of Eu2TlNi from the Alexandria database. Energies are from GGA-PBE.

Cell lengths 3.575, 3.575, 8.238 Å; angles 90.00, 90.00, 90.00 degrees
Atoms (fractional coordinates):
Eu: 0.000 0.000 0.209
Eu: 0.000 0.000 0.791
Tl: 0.500 0.500 0.500
Ni: 0.500 0.500 0.000

Calculated values
Space-group type = P4/mmm, No. 123
Formation enthalpy at 0 K = -196 meV/atom
Crystal system = tetragonal
E_tot = -7.3704 eV/atom
DOS(E_F) = 4.31 states/eV per atom